[1]
Computed, not measured: a relaxed structure of Pu3Mn2Ag at the GGA-PBE level of DFT.

Computed properties:
Magnetic moment = 11.87 μB/f.u.
Total energy = -10.642 eV/atom

Structure (extended XYZ):
```
6
Lattice="3.1274 0.0000 0.0000 0.0000 3.1274 0.0000 0.0000 0.0000 12.2990" Properties=species:S:1:pos:R:3 pbc="T T T"
Pu 0.0000 0.0000 0.0000
Pu 0.0000 0.0000 3.7351
Pu 0.0000 0.0000 8.5640
Mn 1.5637 1.5637 1.9187
Mn 1.5637 1.5637 10.3803
Ag 1.5637 1.5637 6.1495
```

---

[2]
Computed, not measured: a relaxed structure of CaPr3Sb4 at the GGA-PBE level of DFT.

Computed properties:
Magnetic moment = 0.00 μB/f.u.
Energy relative to the lowest polymorph listed for this composition = 0.004 eV/atom
Total energy = -5.169 eV/atom

Structure (extended XYZ):
```
8
Lattice="6.4395 0.0000 0.0000 0.0000 6.4395 0.0000 0.0000 0.0000 6.4395" Properties=species:S:1:pos:R:3 pbc="T T T"
Ca 0.0000 0.0000 0.0000
Pr 0.0000 3.2197 3.2197
Pr 3.2197 0.0000 3.2197
Pr 3.2197 3.2197 0.0000
Sb 0.0000 0.0000 3.2197
Sb 0.0000 3.2197 0.0000
Sb 3.2197 0.0000 0.0000
Sb 3.2197 3.2197 3.2197
```

---

[3]
Computed, not measured: a relaxed structure of BaTlPdAu at the GGA-PBE level of DFT.

Computed properties:
Magnetic moment = 0.00 μB/f.u.
Energy relative to the lowest polymorph listed for this composition = 0.000 eV/atom
Total energy = -3.650 eV/atom

Structure (extended XYZ):
```
4
Lattice="2.4397 1.4085 5.4457 -2.4397 1.4085 5.4457 0.0000 -2.8171 5.4457" Properties=species:S:1:pos:R:3 pbc="T T T"
Ba 0.0000 0.0000 0.0000
Tl 0.0000 0.0000 7.8639
Pd 0.0000 0.0000 13.1164
Au 0.0000 0.0000 3.3668
```

---

[4]
Computed, not measured: a relaxed structure of SmDyHg4 at the GGA-PBE level of DFT.

Computed properties:
Magnetic moment = 0.32 μB/f.u.
Energy relative to the lowest polymorph listed for this composition = 0.000 eV/atom
Total energy = -2.102 eV/atom

Structure (extended XYZ):
```
6
Lattice="5.4229 -1.9427 0.0000 5.4229 1.9427 0.0000 -2.7573 0.0000 7.2782" Properties=species:S:1:pos:R:3 pbc="T T T"
Sm 0.0000 0.0000 0.0000
Dy -1.3787 0.0000 3.6391
Hg 3.1295 0.0000 1.2475
Hg 1.7766 0.0000 4.8073
Hg 6.3120 0.0000 2.4709
Hg 4.9590 0.0000 6.0306
```

---

[5]
Computed, not measured: a relaxed structure of NaHPdN2 at the GGA-PBE level of DFT.

Computed properties:
Magnetic moment = 0.00 μB/f.u.
Total energy = -3.911 eV/atom

Structure (extended XYZ):
```
5
Lattice="3.8816 0.0000 0.0000 0.0000 3.8816 0.0000 0.0000 0.0000 3.2921" Properties=species:S:1:pos:R:3 pbc="T T T"
Na 0.0000 0.0000 0.0000
H 1.9408 1.9408 1.6461
Pd 1.9408 1.9408 0.0000
N 0.0000 1.9408 1.6461
N 1.9408 0.0000 1.6461
```

---

[6]
Computed, not measured: a relaxed structure of La6Pr2YMg at the GGA-PBE level of DFT.

Computed properties:
Magnetic moment = 0.00 μB/f.u.
Total energy = -4.632 eV/atom

Structure (extended XYZ):
```
20
Lattice="5.3941 -6.9090 0.0000 5.3941 6.9090 0.0000 -1.4313 0.0000 9.4576" Properties=species:S:1:pos:R:3 pbc="T T T"
La 1.7436 2.9516 6.3726
La 3.5236 5.1988 8.5239
La 5.1177 5.1988 5.6625
La 4.3216 2.3163 0.7898
La 5.7510 2.3163 3.9390
La 2.4593 -2.9516 1.6438
La 6.8976 2.9516 7.8139
La 3.6059 -2.3163 5.5186
La 5.0353 -2.3163 8.6678
La 4.2392 -5.1988 3.7951
La 5.8333 -5.1988 0.9337
La 7.6133 -2.9516 3.0850
Pr 2.2994 0.4451 3.8548
Pr 1.5838 -0.4451 8.5836
Pr 7.7731 0.4451 0.8740
Pr 7.0575 -0.4451 5.6028
Y 4.3206 1.0059 7.0932
Y 5.0363 -1.0059 2.3644
Mg 5.0363 5.5832 2.3644
Mg 4.3206 -5.5832 7.0932
```

---

[7]
Computed, not measured: a relaxed structure of BaZnSe2Br at the GGA-PBE level of DFT.

Computed properties:
Magnetic moment = 0.00 μB/f.u.
Energy relative to the lowest polymorph listed for this composition = 0.000 eV/atom
Total energy = -3.412 eV/atom

Structure (extended XYZ):
```
5
Lattice="4.9968 0.0000 0.0000 0.0000 4.9968 0.0000 0.0000 0.0000 5.5897" Properties=species:S:1:pos:R:3 pbc="T T T"
Ba 0.0000 0.0000 0.0000
Zn 2.4984 2.4984 2.7949
Se 0.0000 2.4984 2.7949
Se 2.4984 0.0000 2.7949
Br 2.4984 2.4984 0.0000
```

---

[8]
Computed, not measured: a relaxed structure of YV2ReH at the GGA-PBE level of DFT.

Computed properties:
Magnetic moment = 0.97 μB/f.u.
Total energy = -5.017 eV/atom

Structure (extended XYZ):
```
5
Lattice="4.7029 0.0000 0.0000 0.0000 4.7029 0.0000 0.0000 0.0000 4.8709" Properties=species:S:1:pos:R:3 pbc="T T T"
Y 0.0000 0.0000 0.0000
V 0.0000 2.3515 0.0000
V 2.3515 0.0000 0.0000
Re 0.0000 0.0000 2.4355
H 2.3515 2.3515 2.4355
```

---

[9]
Computed, not measured: a relaxed structure of LiSm3Pt8 at the GGA-PBE level of DFT.

Computed properties:
Magnetic moment = 0.00 μB/f.u.
Total energy = -6.354 eV/atom

Structure (extended XYZ):
```
12
Lattice="2.7235 1.5724 8.8645 -2.7235 1.5724 8.8645 0.0000 -3.1448 8.8645" Properties=species:S:1:pos:R:3 pbc="T T T"
Li 0.0000 0.0000 0.0000
Sm 0.0000 0.0000 3.3162
Sm 0.0000 0.0000 13.6077
Sm 0.0000 0.0000 17.0294
Pt 0.0000 -1.5693 6.3416
Pt -1.3590 0.7846 6.3416
Pt -1.3509 -0.7799 10.7755
Pt 0.0000 0.0000 8.5676
Pt 1.3590 0.7846 6.3415
Pt 1.3509 -0.7799 10.7755
Pt 0.0000 1.5598 10.7755
Pt 0.0000 0.0000 21.8560
```

---

[10]
Computed, not measured: a relaxed structure of Ac8PIr3S3 at the GGA-PBE level of DFT.

Computed properties:
Magnetic moment = 0.00 μB/f.u.
Total energy = -6.363 eV/atom

Structure (extended XYZ):
```
15
Lattice="4.3743 2.5255 7.1900 -4.3743 2.5255 7.1900 0.0000 -5.0510 7.1900" Properties=species:S:1:pos:R:3 pbc="T T T"
Ac -2.2212 -1.2824 12.4609
Ac 0.0000 0.0000 5.2998
Ac 0.0000 -2.5648 9.1093
Ac -2.2212 1.2824 9.1093
Ac 2.2212 -1.2824 12.4609
Ac 0.0000 2.5648 12.4609
Ac 0.0000 0.0000 16.2703
Ac 2.2212 1.2824 9.1093
P 0.0000 0.0000 10.7851
Ir -4.3743 0.0000 10.7851
Ir -2.1871 1.2627 3.5950
Ir 2.1871 1.2627 3.5950
S -2.1871 -1.2627 7.1900
S -2.1871 1.2627 14.3801
S 0.0000 2.5255 7.1900
```

---

[11]
Computed, not measured: a relaxed structure of SbIrPbSe2 at the GGA-PBE level of DFT.

Computed properties:
Magnetic moment = 2.26 μB/f.u.
Total energy = -3.121 eV/atom

Structure (extended XYZ):
```
5
Lattice="5.2768 0.0000 0.0000 0.0000 5.2768 0.0000 0.0000 0.0000 5.8293" Properties=species:S:1:pos:R:3 pbc="T T T"
Sb 0.0000 0.0000 0.0000
Ir 2.6384 2.6384 0.0000
Pb 0.0000 0.0000 2.9147
Se 0.0000 2.6384 2.9147
Se 2.6384 0.0000 2.9147
```

---

[12]
Computed, not measured: a relaxed structure of LiPrPaTc at the GGA-PBE level of DFT.

Computed properties:
Magnetic moment = 0.00 μB/f.u.
Total energy = -6.441 eV/atom

Structure (extended XYZ):
```
4
Lattice="0.0000 3.5321 3.5321 3.5321 0.0000 3.5321 3.5321 3.5321 0.0000" Properties=species:S:1:pos:R:3 pbc="T T T"
Li 0.0000 0.0000 0.0000
Pr 5.2982 5.2982 5.2982
Pa 1.7661 1.7661 1.7661
Tc 3.5321 3.5321 3.5321
```

---

[13]
Computed, not measured: a relaxed structure of KTaFeAu2 at the GGA-PBE level of DFT.

Computed properties:
Magnetic moment = 0.16 μB/f.u.
Energy relative to the lowest polymorph listed for this composition = 0.000 eV/atom
Total energy = -5.004 eV/atom

Structure (extended XYZ):
```
5
Lattice="5.1276 0.0000 0.0000 0.0000 5.1276 0.0000 0.0000 0.0000 4.3544" Properties=species:S:1:pos:R:3 pbc="T T T"
K 0.0000 0.0000 0.0000
Ta 2.5638 2.5638 0.0000
Fe 2.5638 2.5638 2.1772
Au 0.0000 2.5638 2.1772
Au 2.5638 0.0000 2.1772
```

---

[14]
Computed, not measured: a relaxed structure of LaPr6Ho2Tm at the GGA-PBE level of DFT.

Computed properties:
Magnetic moment = 0.00 μB/f.u.
Total energy = -4.610 eV/atom

Structure (extended XYZ):
```
20
Lattice="4.7177 -7.6665 0.0000 4.7177 7.6665 0.0000 -1.1654 0.0000 9.6820" Properties=species:S:1:pos:R:3 pbc="T T T"
La 3.8436 7.2061 7.2615
La 4.4263 -7.2061 2.4205
Pr 1.8619 4.2515 6.6425
Pr 4.0569 4.9307 0.5380
Pr 4.7958 4.9307 4.3030
Pr 2.7920 1.6722 8.5531
Pr 5.8253 4.2515 7.8804
Pr 4.8952 1.6722 5.9698
Pr 3.3747 -1.6722 3.7122
Pr 2.4446 -4.2515 1.8016
Pr 5.4779 -1.6722 1.1288
Pr 3.4742 -4.9307 5.3790
Pr 4.2130 -4.9307 9.1440
Pr 6.4080 -4.2515 3.0394
Ho 1.7312 0.7426 5.3254
Ho 2.3140 -0.7426 0.4844
Ho 5.9560 0.7426 9.1975
Ho 6.5387 -0.7426 4.3565
Tm 4.4263 1.3576 2.4205
Tm 3.8436 -1.3576 7.2615
```

---

[15]
Computed, not measured: a relaxed structure of La2Pm6Nd3Sc at the GGA-PBE level of DFT.

Computed properties:
Magnetic moment = 0.00 μB/f.u.
Total energy = -4.888 eV/atom

Structure (extended XYZ):
```
12
Lattice="3.1542 -5.4595 0.0000 3.1542 5.4595 0.0000 -2.1220 0.0000 11.9160" Properties=species:S:1:pos:R:3 pbc="T T T"
La 3.1542 3.6368 0.0000
La 3.1542 -3.6368 0.0000
Pm 0.0043 1.7949 8.9564
Pm 1.0673 0.0000 2.9640
Pm 0.0043 -1.7949 8.9564
Pm 4.1820 1.7949 2.9596
Pm 3.1191 0.0000 8.9520
Pm 4.1820 -1.7949 2.9596
Nd -1.0610 0.0000 5.9580
Nd 2.0932 1.8177 5.9580
Nd 2.0932 -1.8177 5.9580
Sc 3.1542 0.0000 0.0000
```

---

[16]
Computed, not measured: a relaxed structure of Ca5Si2Pb2 at the GGA-PBE level of DFT.

Computed properties:
Magnetic moment = 0.00 μB/f.u.
Total energy = -3.641 eV/atom

Structure (extended XYZ):
```
18
Lattice="8.7368 -3.8368 0.0000 8.7368 3.8368 0.0000 0.0000 0.0000 7.6545" Properties=species:S:1:pos:R:3 pbc="T T T"
Ca 0.0000 0.0000 0.0000
Ca 6.6284 2.4444 5.2134
Ca 6.6284 1.3923 1.3862
Ca 10.8451 2.4444 5.2134
Ca 10.8451 1.3923 1.3862
Ca 8.7368 0.0000 3.8272
Ca 6.6284 -1.3923 6.2683
Ca 6.6284 -2.4444 2.4411
Ca 10.8451 -1.3923 6.2683
Ca 10.8451 -2.4444 2.4411
Si 8.7368 2.9769 2.9681
Si 8.7368 0.8598 6.7954
Si 8.7368 -0.8598 0.8591
Si 8.7368 -2.9769 4.6864
Pb 4.0235 0.0000 0.0000
Pb 4.7133 0.0000 3.8272
Pb 12.7602 0.0000 3.8272
Pb 13.4501 0.0000 0.0000
```

---

[17]
Computed, not measured: a relaxed structure of TmLuSi2 at the GGA-PBE level of DFT.

Computed properties:
Magnetic moment = 0.00 μB/f.u.
Total energy = -5.391 eV/atom

Structure (extended XYZ):
```
4
Lattice="1.8694 1.0793 7.5447 -1.8694 1.0793 7.5447 0.0000 -2.1586 7.5447" Properties=species:S:1:pos:R:3 pbc="T T T"
Tm 0.0000 0.0000 0.0000
Lu 0.0000 0.0000 11.3171
Si 0.0000 0.0000 5.6464
Si 0.0000 0.0000 16.9878
```

---

[18]
Computed, not measured: a relaxed structure of TbTiSn2 at the GGA-PBE level of DFT.

Computed properties:
Magnetic moment = 0.00 μB/f.u.
Energy relative to the lowest polymorph listed for this composition = 0.037 eV/atom
Total energy = -5.476 eV/atom

Structure (extended XYZ):
```
4
Lattice="3.7505 0.0000 0.0000 0.0000 3.7505 0.0000 0.0000 0.0000 6.6538" Properties=species:S:1:pos:R:3 pbc="T T T"
Tb 0.0000 0.0000 0.0000
Ti 0.0000 0.0000 3.3269
Sn 1.8753 1.8753 1.8820
Sn 1.8753 1.8753 4.7718
```

---

[19]
Computed, not measured: a relaxed structure of DyScHgRu at the GGA-PBE level of DFT.

Computed properties:
Magnetic moment = 0.00 μB/f.u.
Energy relative to the lowest polymorph listed for this composition = 0.000 eV/atom
Total energy = -5.644 eV/atom

Structure (extended XYZ):
```
4
Lattice="3.3864 0.0000 0.0000 0.0000 3.3864 0.0000 0.0000 0.0000 7.2781" Properties=species:S:1:pos:R:3 pbc="T T T"
Dy 0.0000 0.0000 0.0000
Sc 0.0000 0.0000 4.0785
Hg 1.6932 1.6932 2.2000
Ru 1.6932 1.6932 5.5455
```

---

[20]
Computed, not measured: a relaxed structure of Tb3PmC2 at the GGA-PBE level of DFT.

Computed properties:
Magnetic moment = 0.54 μB/f.u.
Total energy = -6.405 eV/atom

Structure (extended XYZ):
```
12
Lattice="7.2420 0.0000 0.0000 3.6210 6.2768 0.0000 0.0057 4.1559 6.3095" Properties=species:S:1:pos:R:3 pbc="T T T"
Tb 1.8029 1.0506 1.3437
Tb 3.6267 6.2576 4.9660
Tb 5.4296 9.3821 4.9660
Tb 5.4390 1.0506 1.3435
Tb 7.2419 4.1751 1.3435
Tb 9.0657 9.3822 4.9658
Pm 3.6208 4.1848 1.4391
Pm 7.2478 6.2479 4.8704
C 0.0000 0.0000 0.0000
C 1.8105 3.1384 0.0000
C 3.6210 0.0000 0.0000
C 5.4315 3.1384 0.0000
```